(1)
! BeAs2RuBr | Alexandria via LeMat-Bulk | PBE-GGA | relaxed; values from VASP
! SG: P4/mmm
&SYSTEM
  ibrav = 0, nat = 5, ntyp = 4
/
ATOMIC_SPECIES
Ru 101.07 Ru.upf
As 74.92 As.upf
Br 79.90 Br.upf
Be 9.01 Be.upf
CELL_PARAMETERS angstrom
4.703 0.000 0.000
0.000 4.703 0.000
0.000 0.000 5.365
ATOMIC_POSITIONS crystal
Ru 0.000 0.000 0.000
As 0.000 0.500 0.000
As 0.500 0.000 0.000
Br 0.000 0.000 0.500
Be 0.500 0.500 0.500


(2)
! BeSbAs2Br | Alexandria via LeMat-Bulk | PBE-GGA | relaxed; values from VASP
! SG: P4/mmm
&SYSTEM
  ibrav = 0, nat = 5, ntyp = 4
/
ATOMIC_SPECIES
Sb 121.76 Sb.upf
As 74.92 As.upf
Br 79.90 Br.upf
Be 9.01 Be.upf
CELL_PARAMETERS angstrom
-3.597 0.341 3.951
-3.930 -1.025 -3.489
0.551 -5.412 0.969
ATOMIC_POSITIONS crystal
Sb 0.000 0.000 0.000
As 0.000 0.500 0.000
As 0.500 0.000 0.000
Br 0.000 0.000 0.500
Be 0.500 0.500 0.500


Summary of uncorrected energy in eV per atom
-3.98 -2.61
(order as listed above)
Summary of uncorrected formation energy in eV per formula unit
4.096 5.785
(order as listed above)